No. 1
## NbTcHOs2 (PBE)

Data for a relaxed structure of NbTcHOs2.

As for the total energy: -9.24 eV per atom. The magnetic moment comes out at 0.000 μB/atom. As for the volume: 12.63 A^3/atom.

It has space group P4/mmm (No. 123), with a = 3.9458 Å, b = 3.9458 Å, c = 4.0552 Å, α = 90.00°, β = 90.00° and γ = 90.00°. The asymmetric unit holds Nb at (0.0000, 0.0000, 0.0000), Tc at (0.5000, 0.5000, 0.0000), H at (0.0000, 0.0000, 0.5000) and Os at (0.0000, 0.5000, 0.5000).


No. 2
## Cu2HClF (PBE)

Data for a relaxed structure of Cu2HClF.

As for the total energy: -2.68 eV per atom. The magnetic moment comes out at 0.152 μB/atom. As for the volume: 16.50 A^3/atom.

It has space group P4/mmm (No. 123), with a = 3.9100 Å, b = 3.9100 Å, c = 5.3960 Å, α = 90.00°, β = 90.00° and γ = 90.00°. The asymmetric unit holds Cu at (0.0000, 0.5000, 0.0000), H at (0.0000, 0.0000, 0.5000), Cl at (0.5000, 0.5000, 0.5000) and F at (0.5000, 0.5000, 0.0000).


No. 3
## Na2OsF (PBE)

Data for a relaxed structure of Na2OsF.

The magnetic moment comes out at 0.750 μB/atom. Its raw formation energy is 0.541 eV/atom. As for the volume: 21.50 A^3/atom.

It has space group Fm-3m (No. 225), with a = 7.0067 Å, b = 7.0067 Å, c = 7.0067 Å, α = 90.00°, β = 90.00° and γ = 90.00°. The asymmetric unit holds Na at (0.2500, 0.2500, 0.2500), Os at (0.0000, 0.0000, 0.0000) and F at (0.0000, 0.0000, 0.5000).


No. 4
## LiAcDyHo (PBE)

Data for a relaxed structure of LiAcDyHo.

The magnetic moment comes out at 0.000 μB/atom. The value obtained for the formation enthalpy at 0 K is 0.266 eV per atom. As for the volume: 32.58 A^3/atom.

It has space group F-43m (No. 216), with a = 8.0484 Å, b = 8.0484 Å, c = 8.0484 Å, α = 90.00°, β = 90.00° and γ = 90.00°. The asymmetric unit holds Li at (0.0000, 0.0000, 0.0000), Ac at (0.0000, 0.0000, 0.5000), Dy at (0.2500, 0.2500, 0.2500) and Ho at (0.2500, 0.2500, 0.7500).


No. 5
## SrSc2Cu2 (PBE)

Data for a relaxed structure of SrSc2Cu2.

The magnetic moment comes out at 0.257 μB/atom. The value obtained for the formation enthalpy at 0 K is 0.123 eV per atom. As for the volume: 25.15 A^3/atom.

It has space group I4/mmm (No. 139), with a = 4.8869 Å, b = 4.8869 Å, c = 10.5319 Å, α = 90.00°, β = 90.00° and γ = 90.00°. The asymmetric unit holds Sr at (0.0000, 0.0000, 0.0000), Sc at (0.0000, 0.0000, 0.3441) and Cu at (0.0000, 0.5000, 0.2500).


No. 6
## KCd2IrBr (PBE)

Data for a relaxed structure of KCd2IrBr.

The magnetic moment comes out at 0.000 μB/atom. Its raw formation energy is -0.072 eV/atom. As for the volume: 30.19 A^3/atom.

It has space group P4/mmm (No. 123), with a = 5.2434 Å, b = 5.2434 Å, c = 5.4898 Å, α = 90.00°, β = 90.00° and γ = 90.00°. The asymmetric unit holds K at (0.0000, 0.0000, 0.0000), Cd at (0.0000, 0.5000, 0.5000), Ir at (0.5000, 0.5000, 0.5000) and Br at (0.5000, 0.5000, 0.0000).


No. 7
## RbY (PBE)

Data for a relaxed structure of RbY.

The magnetic moment comes out at 0.082 μB/atom. The value obtained for the formation enthalpy at 0 K is 0.432 eV per atom. As for the volume: 52.20 A^3/atom.

It has space group Pnma (No. 62), with a = 14.7193 Å, b = 3.7934 Å, c = 14.9591 Å, α = 90.00°, β = 90.00° and γ = 90.00°. The asymmetric unit holds Rb at (0.1116, 0.2500, 0.2072), Rb at (0.1607, 0.7500, 0.9241), Y at (0.0837, 0.7500, 0.4600) and Y at (0.1236, 0.2500, 0.6476).


No. 8
## HoEr3Os2 (PBE)

Data for a relaxed structure of HoEr3Os2.

The magnetic moment comes out at 0.000 μB/atom. The value obtained for the formation enthalpy at 0 K is -0.155 eV per atom. As for the volume: 26.10 A^3/atom.

It has space group Ibam (No. 72), with a = 6.7008 Å, b = 13.4558 Å, c = 6.9485 Å, α = 90.00°, β = 90.00° and γ = 90.00°. The asymmetric unit holds Ho at (0.0000, 0.0000, 0.0000), Er at (0.0000, 0.2355, 0.2500), Er at (0.0000, 0.5000, 0.2500) and Os at (0.2189, 0.3647, 0.0000).


No. 9
## Ca3AlHg3 (PBE)

Data for a relaxed structure of Ca3AlHg3.

The magnetic moment comes out at 0.000 μB/atom. The value obtained for the formation enthalpy at 0 K is -0.436 eV per atom. As for the volume: 27.38 A^3/atom.

It has space group C2/m (No. 12), with a = 11.6582 Å, b = 4.5076 Å, c = 15.5063 Å, α = 90.00°, β = 109.79° and γ = 90.00°. The asymmetric unit holds Ca at (0.0247, 0.0000, 0.3877), Ca at (0.1034, 0.0000, 0.9184), Ca at (0.2468, 0.0000, 0.2332), Al at (0.2374, 0.5000, 0.3972), Hg at (0.0291, 0.5000, 0.2394), Hg at (0.1228, 0.5000, 0.0772) and Hg at (0.1394, 0.5000, 0.5459).


No. 10
## LaYTl2 (PBE)

Data for a relaxed structure of LaYTl2.

The magnetic moment comes out at 0.000 μB/atom. The value obtained for the formation enthalpy at 0 K is -0.287 eV per atom. As for the volume: 31.97 A^3/atom.

It has space group C2/m (No. 12), with a = 9.9002 Å, b = 3.8810 Å, c = 6.8337 Å, α = 90.00°, β = 103.04° and γ = 90.00°. The asymmetric unit holds La at (0.0000, 0.0000, 0.0000), Y at (0.0000, 0.5000, 0.5000) and Tl at (0.2461, 0.0000, 0.7228).


No. 11
## Li3HoBi3 (PBE)

Data for a relaxed structure of Li3HoBi3.

The magnetic moment comes out at 0.000 μB/atom. The value obtained for the formation enthalpy at 0 K is -0.389 eV per atom. As for the volume: 28.32 A^3/atom.

It has space group R-3 (No. 148, hexagonal axes), with a = 8.9948 Å, b = 8.9948 Å, c = 16.9739 Å, α = 90.00°, β = 90.00° and γ = 120.00°. The asymmetric unit holds Li at (0.0050, 0.2620, 0.4221), Ho at (0.0000, 0.0000, 0.1909) and Bi at (0.0290, 0.4125, 0.5840).


No. 12
## B5C7 (PBE)

Data for a relaxed structure of B5C7.

The magnetic moment comes out at 0.000 μB/atom. The value obtained for the formation enthalpy at 0 K is 0.371 eV per atom. As for the volume: 6.52 A^3/atom.

It has space group P3m1 (No. 156), with a = 2.5796 Å, b = 2.5796 Å, c = 13.5749 Å, α = 90.00°, β = 90.00° and γ = 120.00°. The asymmetric unit holds B at (0.0000, 0.0000, 0.0000), B at (0.0000, 0.0000, 0.4088), B at (0.3333, 0.6667, 0.1678), B at (0.6667, 0.3333, 0.3323), B at (0.6667, 0.3333, 0.8351), C at (0.0000, 0.0000, 0.5255), C at (0.0000, 0.0000, 0.8842), C at (0.3333, 0.6667, 0.0525), C at (0.3333, 0.6667, 0.5625), C at (0.3333, 0.6667, 0.6789), C at (0.6667, 0.3333, 0.2196) and C at (0.6667, 0.3333, 0.7141).